Entry 1:
Here is a relaxed Zr3AlI crystal from the Alexandria database. Energies are from PBE.

Properties
**Calculated density**: 5.3 Mg/m³
**Crystal system**: cubic
**DFT total energy**: -5.52 eV per atom
**Formation energy (no corrections)**: 0.67 eV/atom
**ΔE to the lowest computed polymorph**: 0 meV/atom

abc: 5.1197 5.1197 5.1197
angles: 90.00 90.00 90.00
Fractional coordinates of all 5 atoms:
I 0.5000 0.5000 0.5000
Al 0.0000 0.0000 0.0000
Zr 0.0000 0.5000 0.0000
Zr 0.0000 0.0000 0.5000
Zr 0.5000 0.0000 0.0000

Entry 2:
Here is a relaxed ZrAlI3 crystal from the Alexandria database. Energies are from PBE.

Properties
**Calculated density**: 4.8 Mg/m³
**Crystal system**: cubic
**DFT total energy**: -2.98 eV per atom
**Formation energy (no corrections)**: 0.40 eV/atom
**ΔE to the lowest computed polymorph**: 490 meV/atom

abc: 5.5729 5.5729 5.5729
angles: 90.00 90.00 90.00
Fractional coordinates of all 5 atoms:
I 0.0000 0.5000 0.0000
I 0.0000 0.0000 0.5000
I 0.5000 0.0000 0.0000
Al 0.0000 0.0000 0.0000
Zr 0.5000 0.5000 0.5000

Entry 3:
Here is a relaxed ZrAlI3 crystal from the Alexandria database. Energies are from PBE.

Properties
**Calculated density**: 4.3 Mg/m³
**Crystal system**: cubic
**DFT total energy**: -3.47 eV per atom
**Formation energy (no corrections)**: -0.09 eV/atom
**ΔE to the lowest computed polymorph**: 0 meV/atom

abc: 5.7721 5.7721 5.7721
angles: 90.00 90.00 90.00
Fractional coordinates of all 5 atoms:
I 0.0000 0.5000 0.0000
I 0.0000 0.0000 0.5000
I 0.5000 0.0000 0.0000
Al 0.5000 0.5000 0.5000
Zr 0.0000 0.0000 0.0000

Entry 4:
Here is a relaxed Zr2AlI crystal from the Alexandria database. Energies are from PBE.

Properties
**Calculated density**: 5.8 Mg/m³
**Crystal system**: tetragonal
**DFT total energy**: -5.32 eV per atom
**Formation energy (no corrections)**: 0.27 eV/atom
**ΔE to the lowest computed polymorph**: 223 meV/atom

abc: 4.3384 4.3384 10.7493
angles: 78.36 78.36 90.00
Fractional coordinates of all 8 atoms:
I 0.0000 0.0000 0.0000
I 0.7500 0.2500 0.5000
Al 0.5000 0.5000 0.0000
Al 0.2500 0.7500 0.5000
Zr 0.6153 0.1250 0.2500
Zr 0.1347 0.6250 0.2500
Zr 0.3750 0.3847 0.7500
Zr 0.8750 0.8653 0.7500

Which of these has the highest ΔE to the lowest computed polymorph?
number 2

DFT total energy of number 4 (Zr2AlI)?
-5.32 eV per atom